1.
## Pm3UOs3 (PBE)

Data for Pm3UOs3 after structural relaxation.

Results
N(E_F) in states/eV/cell: 14.551
E_tot in eV/cell: -119.52
Mass density in g/cm³: 12.21

a b c (Å): 5.818 5.818 14.544
angles (deg): 109.41 109.41 47.52
Fractional positions:
Pm 0.003 0.003 0.131
Pm 0.113 0.113 0.428
Pm 0.248 0.248 0.720
Pm 0.752 0.752 0.280
Pm 0.887 0.887 0.572
Pm 0.997 0.997 0.869
U 0.300 0.300 0.097
U 0.700 0.700 0.903
Os 0.359 0.359 0.947
Os 0.397 0.397 0.428
Os 0.435 0.435 0.268
Os 0.565 0.565 0.732
Os 0.603 0.603 0.572
Os 0.641 0.641 0.053

2.
## PmUOs4 (PBE)

Data for PmUOs4 after structural relaxation.

Results
N(E_F) in states/eV/cell: 8.519
E_tot in eV/cell: -61.43
Mass density in g/cm³: 17.31

a b c (Å): 5.374 5.374 5.374
angles (deg): 60.00 60.00 60.00
Fractional positions:
Pm 0.000 0.000 0.000
U 0.750 0.750 0.750
Os 0.375 0.375 0.375
Os 0.375 0.375 0.875
Os 0.375 0.875 0.375
Os 0.875 0.375 0.375

3.
## PmUZnOs (PBE)

Data for PmUZnOs after structural relaxation.

Results
N(E_F) in states/eV/cell: 8.963
E_tot in eV/cell: -28.10
Mass density in g/cm³: 12.35

a b c (Å): 4.952 4.952 4.952
angles (deg): 60.00 60.00 60.00
Fractional positions:
Pm 0.000 0.000 0.000
U 0.500 0.500 0.500
Zn 0.250 0.250 0.250
Os 0.750 0.750 0.750

4.
## PmVOs (PBE)

Data for PmVOs after structural relaxation.

Results
N(E_F) in states/eV/cell: 6.065
E_tot in eV/cell: -46.44
Mass density in g/cm³: 9.87

a b c (Å): 4.211 4.211 10.895
angles (deg): 90.80 90.80 42.25
Fractional positions:
Pm 0.154 0.154 0.249
Pm 0.846 0.846 0.751
V 0.115 0.115 0.536
V 0.885 0.885 0.464
Os 0.138 0.138 0.959
Os 0.862 0.862 0.041

5.
## PmOs2W2 (PBE)

Data for PmOs2W2 after structural relaxation.

Results
N(E_F) in states/eV/cell: 2.759
E_tot in eV/cell: -53.33
Mass density in g/cm³: 14.79

a b c (Å): 6.104 6.104 6.104
angles (deg): 138.12 138.12 60.72
Fractional positions:
Pm 0.000 0.000 0.000
Os 0.375 0.375 0.000
Os 0.625 0.625 0.000
W 0.250 0.750 0.500
W 0.750 0.250 0.500

6.
## Pm3Y2Os2 (PBE)

Data for Pm3Y2Os2 after structural relaxation.

Results
N(E_F) in states/eV/cell: 5.562
E_tot in eV/cell: -50.69
Mass density in g/cm³: 8.65

a b c (Å): 6.406 6.406 8.428
angles (deg): 111.20 111.20 36.61
Fractional positions:
Pm 0.000 0.000 0.000
Pm 0.123 0.123 0.432
Pm 0.877 0.877 0.568
Y 0.331 0.331 0.181
Y 0.669 0.669 0.819
Os 0.320 0.320 0.784
Os 0.680 0.680 0.216

Number 1: formation energy -76 meV per atom. Number 2: formation energy -79 meV per atom. Number 3: formation energy 111 meV per atom. Number 4: formation energy 626 meV per atom. Number 5: formation energy -43 meV per atom. Number 6: formation energy -150 meV per atom.